A geometry-optimized BeSi3As structure. Source: Alexandria via LeMat-Bulk, functional GGA-PBE.

Results
Spin magnetization = 0.00 μB/f.u.
VASP energy = -21.3 eV for the cell shown
Calculated volume = 81.4 Å³/f.u.
Raw formation energy = 0.669 eV/atom
Energy above the lowest structure with this stoichiometry = 0 meV per atom
Crystal system = cubic

Lattice parameters (Å, degrees): 4.333 4.333 4.333 90.00 90.00 90.00
Element x y z (fractional)
As1 0.500 0.500 0.500
Si1 0.500 0.000 0.000
Si2 0.000 0.500 0.000
Be1 0.000 0.000 0.000
Si3 0.000 0.000 0.500

***

A geometry-optimized NaHfCo3 structure. Source: Alexandria via LeMat-Bulk, functional GGA-PBE.

Results
Spin magnetization = 2.18 μB/f.u.
VASP energy = -26.5 eV for the cell shown
Calculated volume = 101.1 Å³/f.u.
DFT formation energy = 6.09 eV/f.u.
Energy above the lowest structure with this stoichiometry = 0 meV per atom
Crystal system = cubic

Lattice parameters (Å, degrees): 4.659 4.659 4.659 90.00 90.00 90.00
Last column: magnetic moment on the atom in μB.
Element x y z (fractional)
Co1 0.000 0.500 0.000  0.87
Co2 0.000 0.000 0.500  1.01
Na1 0.500 0.500 0.500  -0.01
Co3 0.500 0.000 0.000  0.68
Hf1 0.000 0.000 0.000  -0.24

***

A geometry-optimized VFe2RhW structure. Source: Alexandria via LeMat-Bulk, functional GGA-PBE.

Results
Spin magnetization = 1.79 μB/f.u.
VASP energy = -39.9 eV for the cell shown
Calculated volume = 77.1 Å³/f.u.
DFT formation energy = 6.45 eV/f.u.
Crystal system = tetragonal

Lattice parameters (Å, degrees): 4.106 4.573 4.106 90.00 90.00 90.00
Last column: magnetic moment on the atom in μB.
Element x y z (fractional)
Fe1 0.000 0.000 0.500  1.40
V1 0.000 0.000 0.000  -0.41
Rh1 0.500 0.500 0.500  -0.09
Fe2 0.500 0.000 0.000  1.32
W1 0.000 0.500 0.000  -0.30

***

spin magnetization of number 1 (BeSi3As)?
0.00 μB/f.u.